## Zn2AgRh (GGA-PBEsol)

Data for a relaxed Zn2AgRh crystal.

Structure (CIF):
```
data_Zn2AgRh
_symmetry_space_group_name_H-M 'C 1 m 1'
_symmetry_Int_Tables_number 8
_cell_length_a 9.3592
_cell_length_b 2.9106
_cell_length_c 4.3747
_cell_angle_alpha 90.00
_cell_angle_beta 109.26
_cell_angle_gamma 90.00
loop_
_symmetry_equiv_pos_as_xyz
'x,y,z'
'x,-y,z'
'x+1/2,y+1/2,z'
'x+1/2,-y+1/2,z'
loop_
_atom_site_label
_atom_site_type_symbol
_atom_site_fract_x
_atom_site_fract_y
_atom_site_fract_z
Zn1 Zn 0.0000 0.0000 0.0000
Zn2 Zn 0.2424 0.5000 0.3486
Ag1 Ag 0.2503 0.0000 0.8482
Rh1 Rh 0.4839 0.0000 0.4853
```

Properties
The energy of formation is -191 meV per atom. Its density of states at the Fermi level is 1.36 states/eV/f.u.

## Zn2AgRh (GGA-PBEsol)

Data for a relaxed Zn2AgRh crystal.

Structure (CIF):
```
data_Zn2AgRh
_symmetry_space_group_name_H-M 'P 4/m m m'
_symmetry_Int_Tables_number 123
_symmetry_space_group_name_Hall '-P 4 2'
_cell_length_a 2.9980
_cell_length_b 2.9980
_cell_length_c 6.2503
_cell_angle_alpha 90.00
_cell_angle_beta 90.00
_cell_angle_gamma 90.00
loop_
_atom_site_label
_atom_site_type_symbol
_atom_site_fract_x
_atom_site_fract_y
_atom_site_fract_z
Zn1 Zn 0.0000 0.0000 0.2303
Ag1 Ag 0.5000 0.5000 0.5000
Rh1 Rh 0.5000 0.5000 0.0000
```

Properties
The energy of formation is -257 meV per atom. Its density of states at the Fermi level is 1.04 states/eV/f.u.

## ZnAgRh2 (GGA-PBEsol)

Data for a relaxed ZnAgRh2 crystal.

Structure (CIF):
```
data_ZnAgRh2
_symmetry_space_group_name_H-M 'P 4/m m m'
_symmetry_Int_Tables_number 123
_symmetry_space_group_name_Hall '-P 4 2'
_cell_length_a 3.9246
_cell_length_b 3.9246
_cell_length_c 3.6574
_cell_angle_alpha 90.00
_cell_angle_beta 90.00
_cell_angle_gamma 90.00
loop_
_atom_site_label
_atom_site_type_symbol
_atom_site_fract_x
_atom_site_fract_y
_atom_site_fract_z
Zn1 Zn 0.0000 0.0000 0.0000
Ag1 Ag 0.5000 0.5000 0.0000
Rh1 Rh 0.0000 0.5000 0.5000
```

Properties
The energy of formation is 82 meV per atom. Its density of states at the Fermi level is 4.55 states/eV/f.u.

## ZnAgRh2 (GGA-PBEsol)

Data for a relaxed ZnAgRh2 crystal.

Structure (CIF):
```
data_ZnAgRh2
_symmetry_space_group_name_H-M 'P 4 m m'
_symmetry_Int_Tables_number 99
_cell_length_a 2.7345
_cell_length_b 2.7345
_cell_length_c 7.5516
_cell_angle_alpha 90.00
_cell_angle_beta 90.00
_cell_angle_gamma 90.00
loop_
_symmetry_equiv_pos_as_xyz
'x,y,z'
'-y,x,z'
'-x,-y,z'
'y,-x,z'
'-x,y,z'
'y,x,z'
'x,-y,z'
'-y,-x,z'
loop_
_atom_site_label
_atom_site_type_symbol
_atom_site_fract_x
_atom_site_fract_y
_atom_site_fract_z
Zn1 Zn 0.0000 0.0000 0.0000
Ag1 Ag 0.5000 0.5000 0.2588
Rh1 Rh 0.0000 0.0000 0.5327
Rh2 Rh 0.5000 0.5000 0.7653
```

Properties
The energy of formation is -41 meV per atom. Its density of states at the Fermi level is 3.87 states/eV/f.u.

## ZnAgRh2 (GGA-PBEsol)

Data for a relaxed ZnAgRh2 crystal.

Structure (CIF):
```
data_ZnAgRh2
_symmetry_space_group_name_H-M 'R -3 m'
_symmetry_Int_Tables_number 166
_symmetry_space_group_name_Hall '-R 3 2"'
_cell_length_a 2.7299
_cell_length_b 2.7299
_cell_length_c 26.1600
_cell_angle_alpha 90.00
_cell_angle_beta 90.00
_cell_angle_gamma 120.00
loop_
_atom_site_label
_atom_site_type_symbol
_atom_site_fract_x
_atom_site_fract_y
_atom_site_fract_z
Zn1 Zn 0.0000 0.0000 0.0000
Ag1 Ag 0.0000 0.0000 0.5000
Rh1 Rh 0.0000 0.0000 0.2552
```

Properties
The energy of formation is -25 meV per atom. Its density of states at the Fermi level is 4.83 states/eV/f.u.

## Zn2AgRh (GGA-PBEsol)

Data for a relaxed Zn2AgRh crystal.

Structure (CIF):
```
data_Zn2AgRh
_symmetry_space_group_name_H-M 'C m m m'
_symmetry_Int_Tables_number 65
_symmetry_space_group_name_Hall '-C 2 2'
_cell_length_a 5.7609
_cell_length_b 6.4382
_cell_length_c 3.0026
_cell_angle_alpha 90.00
_cell_angle_beta 90.00
_cell_angle_gamma 90.00
loop_
_atom_site_label
_atom_site_type_symbol
_atom_site_fract_x
_atom_site_fract_y
_atom_site_fract_z
Zn1 Zn 0.2500 0.2500 0.0000
Ag1 Ag 0.0000 0.0000 0.5000
Rh1 Rh 0.0000 0.5000 0.5000
```

Properties
The energy of formation is -253 meV per atom. Its density of states at the Fermi level is 1.13 states/eV/f.u.